Record 1
RbFeCo: relaxed, GGA-PBE.

Results
total DFT energy (no corrections)	-29.985	eV per cell
total magnetic moment	9.04	μB per cell
ρ	4.4	g cm⁻³
D(E_F)	1.56	states/eV/f.u.
energy of formation	11.9	kcal/mol of atoms

Lattice parameters (Å, degrees): 3.0679 13.1465 3.9328 73.29 90.00 96.31
Last column: nearest neighbours and their distance in Å.
Atoms (fractional coordinates):
1 Co 0.6102 0.7498 0.7630  6 Fe 2.42-2.50, 2 Co 2.65
2 Co 0.6777 0.8919 0.1266  6 Fe 2.42-2.50, 2 Co 2.65
3 Fe 0.1077 0.7425 0.2700  6 Co 2.42-2.50
4 Fe 0.1805 0.8992 0.6196  6 Co 2.42-2.50
5 Rb 0.9831 0.5027 0.9972  2 Rb 3.07, 1 Co 3.44
6 Rb 0.2951 0.1390 0.8858  2 Rb 3.07

---

Record 2
MgPAuO2: relaxed, GGA-PBE.

Results
total DFT energy (no corrections)	-19.125	eV per cell
formation energy without anion corrections	0.215	eV per atom
total magnetic moment	0.42	μB per cell
ρ	5.8	g cm⁻³
D(E_F)	5.56	states/eV/f.u.

Lattice parameters (Å, degrees): 4.0281 4.0281 5.0247 90.00 90.00 90.00
Last column: nearest neighbours and their distance in Å.
Atoms (fractional coordinates):
1 P 0.0000 0.0000 0.5000  2 Au 2.51
2 Mg 0.5000 0.5000 0.5000  4 P 2.85
3 O 0.0000 0.5000 0.0000  2 Au 2.01
4 O 0.5000 0.0000 0.0000  2 Au 2.01
5 Au 0.0000 0.0000 0.0000  4 O 2.01

---

Record 3
Pr4Sm8Th: relaxed, GGA-PBE.

Results
total DFT energy (no corrections)	-57.895	eV per cell
total magnetic moment	1.72	μB per cell
ρ	6.7	g cm⁻³
D(E_F)	22.91	states/eV/f.u.
energy of formation	11.3	kcal/mol of atoms

Lattice parameters (Å, degrees): 7.9177 7.9177 7.9177 90.10 90.10 90.10
Last column: nearest neighbours and their distance in Å.
Atoms (fractional coordinates):
1 Sm 0.2402 0.7586 0.2402  4 Pr 3.30-3.47, 1 Th 3.56
2 Sm 0.2406 0.2406 0.2406  4 Pr 3.29-3.48, 1 Th 3.55
3 Sm 0.7598 0.2414 0.7598  4 Pr 3.30-3.47, 1 Th 3.56
4 Sm 0.7586 0.2402 0.2402  4 Pr 3.30-3.47, 1 Th 3.56
5 Sm 0.2414 0.7598 0.7598  4 Pr 3.30-3.47, 1 Th 3.56
6 Sm 0.7594 0.7594 0.7594  4 Pr 3.29-3.48, 1 Th 3.55
7 Sm 0.7598 0.7598 0.2414  4 Pr 3.30-3.47, 1 Th 3.56
8 Sm 0.2402 0.2402 0.7586  4 Pr 3.30-3.47, 1 Th 3.56
9 Pr 0.0000 0.0000 0.0000  8 Sm 3.29-3.30
10 Pr 0.5000 0.0000 0.5000  8 Sm 3.47-3.48
11 Pr 0.5000 0.5000 0.0000  8 Sm 3.47-3.48
12 Pr 0.0000 0.5000 0.5000  8 Sm 3.47-3.48
13 Th 0.5000 0.5000 0.5000  8 Sm 3.55-3.56, 6 Pr 3.96

---

Record 4
BaCu4SnP2: relaxed, GGA-PBE.

Results
total DFT energy (no corrections)	-35.677	eV per cell
total magnetic moment	0.00	μB per cell
ρ	6.1	g cm⁻³
D(E_F)	3.60	states/eV/f.u.
energy of formation	-7.3	kcal/mol of atoms

Lattice parameters (Å, degrees): 4.0495 4.0495 9.4544 90.00 90.00 90.00
Last column: nearest neighbours and their distance in Å.
Atoms (fractional coordinates):
1 Cu 0.5000 0.0000 0.1913  2 P 2.29
2 Cu 0.0000 0.5000 0.1913  2 P 2.29
3 Cu 0.0000 0.5000 0.8087  2 P 2.29
4 Cu 0.5000 0.0000 0.8087  2 P 2.29
5 P 0.5000 0.5000 0.6956  4 Cu 2.29
6 P 0.5000 0.5000 0.3044  4 Cu 2.29
7 Ba 0.0000 0.0000 0.5000  8 P 3.41, 8 Cu 3.55
8 Sn 0.0000 0.0000 0.0000  8 Cu 2.71

---

Record 5
Na2Mg3AgSn4: relaxed, GGA-PBE.

Results
total DFT energy (no corrections)	-27.495	eV per cell
total magnetic moment	0.00	μB per cell
ρ	4.3	g cm⁻³
D(E_F)	3.91	states/eV/f.u.
energy of formation	-2.8	kcal/mol of atoms

Lattice parameters (Å, degrees): 4.4698 4.4698 13.4088 90.00 90.00 90.00
Last column: nearest neighbours and their distance in Å.
Atoms (fractional coordinates):
1 Sn 0.0000 0.0000 0.0000  4 Mg 3.00, 4 Sn 3.16
2 Sn 0.5000 0.0000 0.6395  3 Mg 2.83-2.91, 2 Ag 2.91
3 Sn 0.0000 0.5000 0.3605  3 Mg 2.83-2.91, 2 Ag 2.91
4 Sn 0.5000 0.5000 0.0000  4 Mg 3.00, 4 Sn 3.16
5 Ag 0.5000 0.5000 0.5000  4 Sn 2.91, 4 Mg 3.16
6 Na 0.0000 0.5000 0.7193  4 Sn 3.34, 6 Mg 3.62-3.69, 2 Ag 3.69
7 Na 0.5000 0.0000 0.2807  4 Sn 3.34, 6 Mg 3.62-3.69, 2 Ag 3.69
8 Mg 0.5000 0.0000 0.8504  5 Sn 2.83-3.00
9 Mg 0.0000 0.5000 0.1496  5 Sn 2.83-3.00
10 Mg 0.0000 0.0000 0.5000  4 Sn 2.91, 4 Ag 3.16

---

Record 6
Li2CrHPd: relaxed, GGA-PBE.

Results
total DFT energy (no corrections)	-22.494	eV per cell
total magnetic moment	4.14	μB per cell
ρ	4.9	g cm⁻³
D(E_F)	2.09	states/eV/f.u.

Lattice parameters (Å, degrees): 3.8704 3.8704 3.9531 90.00 90.00 90.00
Last column: nearest neighbours and their distance in Å.
Atoms (fractional coordinates):
1 H 0.0000 0.0000 0.0000  4 Li 1.94, 2 Cr 1.98
2 Li 0.5000 0.0000 0.0000  2 H 1.94
3 Li 0.0000 0.5000 0.0000  2 H 1.94
4 Pd 0.5000 0.5000 0.5000  4 Cr 2.74, 8 Li 2.77
5 Cr 0.0000 0.0000 0.5000  2 H 1.98

---

Record 7
Na2LiVPd: relaxed, GGA-PBE.

Results
total DFT energy (no corrections)	-14.243	eV per cell
total magnetic moment	4.00	μB per cell
ρ	3.3	g cm⁻³
D(E_F)	3.85	states/eV/f.u.
energy of formation	21.3	kcal/mol of atoms

Lattice parameters (Å, degrees): 4.6119 4.9493 4.6119 90.00 90.00 90.00
Last column: nearest neighbours and their distance in Å.
Atoms (fractional coordinates):
1 V 0.0000 0.5000 0.0000  2 Li 2.47
2 Na 0.5000 0.0000 0.0000  2 Li 2.31
3 Na 0.0000 0.0000 0.5000  2 Li 2.31
4 Pd 0.5000 0.5000 0.5000  4 V 3.26, 8 Na 3.38
5 Li 0.0000 0.0000 0.0000  4 Na 2.31, 2 V 2.47

---

Record 8
Cd2MoOs: relaxed, GGA-PBE.

Results
total DFT energy (no corrections)	-21.925	eV per cell
total magnetic moment	0.32	μB per cell
ρ	12.1	g cm⁻³
D(E_F)	3.80	states/eV/f.u.
energy of formation	11.3	kcal/mol of atoms

Lattice parameters (Å, degrees): 4.8000 4.8000 5.3626 82.83 82.83 34.97
Last column: nearest neighbours and their distance in Å.
Atoms (fractional coordinates):
1 Cd 0.7511 0.7511 0.7582  5 Cd 2.71-2.89, 2 Os 2.91, 3 Mo 2.93-3.00
2 Cd 0.9959 0.9959 0.9917  5 Cd 2.71-2.89, 2 Mo 2.91, 3 Os 2.96-2.98
3 Mo 0.5042 0.5042 0.4620  3 Os 2.63-2.72, 2 Mo 2.88, 3 Cd 2.91-2.93
4 Os 0.2489 0.2489 0.2881  3 Mo 2.63-2.72, 2 Os 2.88, 2 Cd 2.91

---

Record 9
ZrGe2As: relaxed, GGA-PBE.

Results
total DFT energy (no corrections)	-45.325	eV per cell
total magnetic moment	0.00	μB per cell
ρ	6.5	g cm⁻³
D(E_F)	3.06	states/eV/f.u.
energy of formation	-1.3	kcal/mol of atoms

Lattice parameters (Å, degrees): 7.5749 7.5749 6.0392 51.16 51.16 90.00
Last column: nearest neighbours and their distance in Å.
Atoms (fractional coordinates):
1 As 0.2500 0.7500 0.5000  4 Ge 2.70, 2 Zr 2.79
2 As 0.5000 0.5000 0.0000  4 Ge 2.70, 2 Zr 2.79
3 Zr 0.0000 0.0000 0.0000  2 As 2.79, 4 Ge 2.84
4 Zr 0.7500 0.2500 0.5000  2 As 2.79, 4 Ge 2.84
5 Ge 0.3750 0.3880 0.7500  2 As 2.70, 2 Ge 2.80, 2 Zr 2.84
6 Ge 0.6120 0.1250 0.2500  2 As 2.70, 2 Ge 2.80, 2 Zr 2.84
7 Ge 0.8750 0.8620 0.7500  2 As 2.70, 2 Ge 2.80, 2 Zr 2.84
8 Ge 0.1380 0.6250 0.2500  2 As 2.70, 2 Ge 2.80, 2 Zr 2.84

---

Record 10
Li2Np3InSe6: relaxed, GGA-PBE.

Results
total DFT energy (no corrections)	-78.381	eV per cell
formation energy without anion corrections	-1.007	eV per atom
total magnetic moment	3.99	μB per cell
ρ	6.9	g cm⁻³
D(E_F)	27.78	states/eV/f.u.

Lattice parameters (Å, degrees): 4.1433 8.4059 9.6974 104.87 102.34 90.00
Last column: nearest neighbours and their distance in Å.
Atoms (fractional coordinates):
1 Se 0.9866 0.2618 0.9733  3 Np 2.85-2.89, 2 In 3.08
2 Se 0.3350 0.4288 0.6699  3 Li 2.74-2.89, 3 Np 2.95-3.03
3 Se 0.6722 0.0718 0.3444  3 Np 2.86-2.93, 2 Li 3.07, 1 In 3.16
4 Se 0.6650 0.5712 0.3301  3 Li 2.74-2.89, 3 Np 2.95-3.03
5 Se 0.3278 0.9282 0.6556  3 Np 2.86-2.93, 2 Li 3.07, 1 In 3.16
6 Se 0.0134 0.7382 0.0267  3 Np 2.85-2.89, 2 In 3.08
7 Li 0.8147 0.6524 0.6295  3 Se 2.74-2.89
8 Li 0.1853 0.3476 0.3705  3 Se 2.74-2.89
9 In 0.5000 0.0000 0.0000  6 Se 3.08-3.16
10 Np 0.1715 0.8246 0.3429  6 Se 2.86-2.95
11 Np 0.5000 0.5000 0.0000  6 Se 2.85-3.03
12 Np 0.8285 0.1754 0.6571  6 Se 2.86-2.95

---

Record 11
BaMg2Zn: relaxed, GGA-PBE.

Results
total DFT energy (no corrections)	-6.567	eV per cell
total magnetic moment	0.12	μB per cell
ρ	3.3	g cm⁻³
D(E_F)	3.45	states/eV/f.u.
energy of formation	-1.0	kcal/mol of atoms

Lattice parameters (Å, degrees): 6.8401 6.8401 6.8401 41.12 41.12 41.12
Last column: nearest neighbours and their distance in Å.
Atoms (fractional coordinates):
1 Mg 0.9480 0.9480 0.9480  3 Zn 2.84, 3 Mg 3.01
2 Mg 0.5520 0.5520 0.5520  3 Zn 2.84, 3 Mg 3.01
3 Ba 0.7500 0.7500 0.7500  8 Mg 3.71-3.76
4 Zn 0.2500 0.2500 0.2500  6 Mg 2.84

---

Record 12
Pu2Zn2Rh3: relaxed, GGA-PBE.

Results
total DFT energy (no corrections)	-56.056	eV per cell
total magnetic moment	9.71	μB per cell
ρ	12.0	g cm⁻³
D(E_F)	19.20	states/eV/f.u.
energy of formation	-9.2	kcal/mol of atoms

Lattice parameters (Å, degrees): 4.1955 5.2297 6.6098 104.21 90.00 113.65
Last column: nearest neighbours and their distance in Å.
Atoms (fractional coordinates):
1 Rh 0.6736 0.3472 0.2359  3 Zn 2.59-2.60, 4 Pu 2.82-2.86, 2 Rh 2.86
2 Rh 0.0000 0.0000 0.0000  2 Zn 2.73, 4 Rh 2.86, 4 Pu 2.94
3 Rh 0.3264 0.6528 0.7641  3 Zn 2.59-2.60, 4 Pu 2.82-2.86, 2 Rh 2.86
4 Pu 0.3699 0.7399 0.2038  6 Rh 2.82-2.94
5 Pu 0.6301 0.2601 0.7962  6 Rh 2.82-2.94
6 Zn 0.1133 0.2265 0.4250  4 Rh 2.59-2.73, 1 Zn 2.62
7 Zn 0.8867 0.7735 0.5750  4 Rh 2.59-2.73, 1 Zn 2.62

---

Record 13
ZrInW4: relaxed, GGA-PBE.

Results
total DFT energy (no corrections)	-62.004	eV per cell
total magnetic moment	0.00	μB per cell
ρ	14.1	g cm⁻³
D(E_F)	4.30	states/eV/f.u.
energy of formation	4.2	kcal/mol of atoms

Lattice parameters (Å, degrees): 5.3950 5.3950 5.3950 60.00 60.00 60.00
Last column: nearest neighbours and their distance in Å.
Atoms (fractional coordinates):
1 W 0.3745 0.3745 0.3745  6 W 2.69-2.71
2 W 0.3745 0.8766 0.3745  6 W 2.69-2.71
3 W 0.3745 0.3745 0.8766  6 W 2.69-2.71
4 W 0.8766 0.3745 0.3745  6 W 2.69-2.71
5 In 0.0000 0.0000 0.0000  12 W 3.16, 4 Zr 3.30
6 Zr 0.7500 0.7500 0.7500  12 W 3.16, 4 In 3.30

---

Record 14
Pm2TmSc: relaxed, GGA-PBE.

Results
total DFT energy (no corrections)	-20.139	eV per cell
total magnetic moment	0.00	μB per cell
ρ	6.8	g cm⁻³
D(E_F)	6.11	states/eV/f.u.
energy of formation	1.0	kcal/mol of atoms

Lattice parameters (Å, degrees): 4.8517 5.0198 5.0198 90.00 90.00 90.00
Last column: nearest neighbours and their distance in Å.
Atoms (fractional coordinates):
1 Tm 0.5000 0.5000 0.5000  8 Pm 3.49, 4 Sc 3.55
2 Pm 0.0000 0.5000 0.0000  4 Sc 3.49, 4 Tm 3.49, 4 Pm 3.55
3 Pm 0.0000 0.0000 0.5000  4 Sc 3.49, 4 Tm 3.49, 4 Pm 3.55
4 Sc 0.5000 0.0000 0.0000  8 Pm 3.49, 4 Tm 3.55

---

Record 15
Na2ZnSi4Pt3: relaxed, GGA-PBE.

Results
total DFT energy (no corrections)	-48.357	eV per cell
formation energy without anion corrections	-0.463	eV per atom
total magnetic moment	0.00	μB per cell
ρ	7.7	g cm⁻³
D(E_F)	4.36	states/eV/f.u.

Lattice parameters (Å, degrees): 4.1717 4.1717 10.0661 90.00 90.00 90.00
Last column: nearest neighbours and their distance in Å.
Atoms (fractional coordinates):
1 Na 0.5000 0.0000 0.2513  8 Si 3.16-3.28, 6 Pt 3.21-3.26, 2 Zn 3.26
2 Na 0.0000 0.5000 0.7487  8 Si 3.16-3.28, 6 Pt 3.21-3.26, 2 Zn 3.26
3 Pt 0.0000 0.5000 0.1263  5 Si 2.40-2.44
4 Pt 0.5000 0.0000 0.8737  5 Si 2.40-2.44
5 Pt 0.0000 0.0000 0.5000  4 Si 2.49
6 Si 0.0000 0.0000 0.0000  4 Pt 2.44
7 Si 0.5000 0.0000 0.6348  3 Pt 2.40-2.49, 2 Zn 2.49
8 Si 0.5000 0.5000 0.0000  4 Pt 2.44
9 Si 0.0000 0.5000 0.3652  3 Pt 2.40-2.49, 2 Zn 2.49
10 Zn 0.5000 0.5000 0.5000  4 Si 2.49

---

Record 16
Tb6Ho3Er2: relaxed, GGA-PBE.

Results
total DFT energy (no corrections)	-47.414	eV per cell
total magnetic moment	0.00	μB per cell
ρ	8.1	g cm⁻³
D(E_F)	16.40	states/eV/f.u.
energy of formation	6.8	kcal/mol of atoms

Lattice parameters (Å, degrees): 4.6960 4.6960 16.8383 98.02 98.02 90.00
Last column: nearest neighbours and their distance in Å.
Atoms (fractional coordinates):
1 Ho 0.0000 0.0000 0.0000  8 Er 3.65
2 Ho 0.8006 0.8006 0.6012  9 Tb 3.32-3.50
3 Ho 0.1994 0.1994 0.3988  9 Tb 3.32-3.50
4 Tb 0.6971 0.6971 0.3942  5 Ho 3.32-3.42, 4 Tb 3.45
5 Tb 0.3029 0.3029 0.6058  5 Ho 3.32-3.42, 4 Tb 3.45
6 Tb 0.3793 0.8793 0.7586  6 Tb 3.32-3.45, 2 Er 3.41, 2 Ho 3.50
7 Tb 0.8793 0.3793 0.7586  6 Tb 3.32-3.45, 2 Er 3.41, 2 Ho 3.50
8 Tb 0.1207 0.6207 0.2414  6 Tb 3.32-3.45, 2 Er 3.41, 2 Ho 3.50
9 Tb 0.6207 0.1207 0.2414  6 Tb 3.32-3.45, 2 Er 3.41, 2 Ho 3.50
10 Er 0.5458 0.5458 0.0915  1 Er 3.02
11 Er 0.4542 0.4542 0.9085  1 Er 3.02

---

Record 17
CrOs2Pt: relaxed, GGA-PBE.

Results
total DFT energy (no corrections)	-71.384	eV per cell
total magnetic moment	4.42	μB per cell
ρ	16.5	g cm⁻³
D(E_F)	3.92	states/eV/f.u.
energy of formation	14.0	kcal/mol of atoms

Lattice parameters (Å, degrees): 3.7572 3.7572 9.3452 78.40 78.40 90.00
Last column: nearest neighbours and their distance in Å.
Atoms (fractional coordinates):
1 Os 0.5988 0.1250 0.2500  4 Os 2.52-2.80, 2 Cr 2.57, 2 Pt 2.64
2 Os 0.8750 0.8488 0.7500  4 Os 2.52-2.80, 2 Cr 2.57, 2 Pt 2.64
3 Os 0.1512 0.6250 0.2500  4 Os 2.52-2.80, 2 Cr 2.57, 2 Pt 2.64
4 Os 0.3750 0.4012 0.7500  4 Os 2.52-2.80, 2 Cr 2.57, 2 Pt 2.64
5 Pt 0.7500 0.2500 0.5000  4 Os 2.64, 4 Cr 2.66
6 Pt 0.0000 0.0000 0.0000  4 Os 2.64, 4 Cr 2.66
7 Cr 0.2500 0.7500 0.5000  4 Os 2.57, 4 Pt 2.66
8 Cr 0.5000 0.5000 0.0000  4 Os 2.57, 4 Pt 2.66

---

Record 18
Ni4Ge2H: relaxed, GGA-PBE.

Results
total DFT energy (no corrections)	-73.186	eV per cell
total magnetic moment	0.00	μB per cell
ρ	8.1	g cm⁻³
D(E_F)	3.58	states/eV/f.u.

Lattice parameters (Å, degrees): 6.0965 6.1646 6.1542 132.05 96.80 102.65
Last column: nearest neighbours and their distance in Å.
Atoms (fractional coordinates):
1 Ni 0.9236 0.7496 0.3068  4 Ge 2.41-2.48, 1 H 2.51, 5 Ni 2.56-2.66
2 Ni 0.8847 0.0684 0.1876  1 H 1.67
3 Ni 0.4405 0.7492 0.8211  1 H 1.73
4 Ni 0.3661 0.0522 0.6834  1 H 1.67
5 Ni 0.2479 0.4236 0.1823  2 H 1.72
6 Ni 0.3244 0.1310 0.3242  4 Ge 2.41-2.48, 1 H 2.51, 5 Ni 2.56-2.67
7 Ni 0.8091 0.1323 0.8099  1 H 1.73
8 Ni 0.0048 0.6880 0.6796  2 H 1.72
9 Ge 0.1253 0.3383 0.7141  8 Ni 2.42-2.55
10 Ge 0.5424 0.8283 0.2810  7 Ni 2.36-2.64
11 Ge 0.6253 0.3383 0.2146  8 Ni 2.42-2.48
12 Ge 0.7074 0.4892 0.7848  7 Ni 2.36-2.64
13 H 0.2388 0.6975 0.5519  4 Ni 1.67-1.73
14 H 0.0098 0.0640 0.9587  4 Ni 1.67-1.73

---

Record 19
LiSeSN2: relaxed, GGA-PBE.

Results
total DFT energy (no corrections)	-20.267	eV per cell
formation energy without anion corrections	1.182	eV per atom
total magnetic moment	2.04	μB per cell
ρ	3.2	g cm⁻³
D(E_F)	1.99	states/eV/f.u.

Lattice parameters (Å, degrees): 3.8405 3.8405 5.0723 90.00 90.00 90.00
Last column: nearest neighbours and their distance in Å.
Atoms (fractional coordinates):
1 N 0.0000 0.5000 0.0000  2 Se 1.92
2 N 0.5000 0.0000 0.0000  2 Se 1.92
3 S 0.0000 0.0000 0.5000  2 Se 2.54, 4 Li 2.72
4 Se 0.0000 0.0000 0.0000  4 N 1.92
5 Li 0.5000 0.5000 0.5000  4 S 2.72